one | Density functional theory data (PBE) for an optimized crystal structure of LaBeGaPt2.

Calculated values
Its symmetry is P4/mmm (123). For the theoretical density, the calculation gives 10.93 g/cm³.

Cell lengths 4.5984, 4.5984, 4.3686 Å; angles 90.00, 90.00, 90.00 degrees
With the nearest neighbours (Å) after each atom.
Fractional positions:
1 La 0.5000 0.5000 0.5000  8 Pt 3.17, 4 Ga 3.25
2 Be 0.0000 0.0000 0.0000  2 Ga 2.18, 4 Pt 2.30
3 Ga 0.0000 0.0000 0.5000  2 Be 2.18
4 Pt 0.0000 0.5000 0.0000  2 Be 2.30
5 Pt 0.5000 0.0000 0.0000  2 Be 2.30


two | Density functional theory data (PBE) for an optimized crystal structure of LaBeGaPt2.

Calculated values
Its symmetry is P4/mmm (123). For the theoretical density, the calculation gives 7.77 g/cm³.

Cell lengths 4.7963, 5.6431, 4.7963 Å; angles 90.00, 90.00, 90.00 degrees
With the nearest neighbours (Å) after each atom.
Fractional positions:
1 Pt 0.5000 0.0000 0.0000  2 Ga 2.40
2 Pt 0.0000 0.0000 0.5000  2 Ga 2.40
3 Ga 0.0000 0.0000 0.0000  4 Pt 2.40
4 Be 0.5000 0.5000 0.5000  4 La 3.39, 8 Pt 3.70
5 La 0.0000 0.5000 0.0000  2 Ga 2.82


three | Density functional theory data (PBE) for an optimized crystal structure of LaBeGaPt2.

Calculated values
Its symmetry is I-4m2 (119). For the theoretical density, the calculation gives 10.73 g/cm³.

Cell lengths 4.1362, 4.1362, 6.2255 Å; angles 109.40, 109.40, 90.00 degrees
With the nearest neighbours (Å) after each atom.
Fractional positions:
1 Ga 0.2500 0.7500 0.5000  4 Pt 2.48
2 Be 0.7500 0.2500 0.5000  4 Pt 2.48
3 Pt 0.6255 0.6255 0.2510  2 Be 2.48, 2 Ga 2.48, 1 Pt 2.76
4 Pt 0.3745 0.3745 0.7490  2 Be 2.48, 2 Ga 2.48, 1 Pt 2.76
5 La 0.0000 0.0000 0.0000  8 Pt 3.23, 4 Ga 3.44, 4 Be 3.44


Most stable: three


one | Density functional theory data (PBE) for an optimized crystal structure of LiBe2Ga.

Calculated values
Its symmetry is I4_1/amd (141). For the theoretical density, the calculation gives 2.41 g/cm³.

Cell lengths 4.0651, 4.0651, 8.4175 Å; angles 76.03, 76.03, 90.00 degrees
With the nearest neighbours (Å) after each atom.
Fractional positions:
1 Li 0.5000 0.5000 0.0000  4 Ga 2.87, 8 Be 3.01
2 Li 0.2500 0.7500 0.5000  4 Ga 2.87, 8 Be 3.01
3 Be 0.8745 0.1250 0.2500  2 Be 2.03, 2 Ga 2.22
4 Be 0.8755 0.6250 0.2500  2 Be 2.03, 2 Ga 2.22
5 Be 0.3750 0.1255 0.7500  2 Be 2.03, 2 Ga 2.22
6 Be 0.8750 0.1245 0.7500  2 Be 2.03, 2 Ga 2.22
7 Ga 0.7500 0.2500 0.5000  4 Be 2.22
8 Ga 0.0000 0.0000 0.0000  4 Be 2.22


two | Density functional theory data (PBE) for an optimized crystal structure of LiBe2Ga.

Calculated values
Its symmetry is Fm-3m (225). For the theoretical density, the calculation gives 3.56 g/cm³.

Cell lengths 3.9691, 3.9691, 3.9691 Å; angles 60.00, 60.00, 60.00 degrees
With the nearest neighbours (Å) after each atom.
Fractional positions:
1 Ga 0.5000 0.5000 0.5000  8 Be 2.43
2 Be 0.7500 0.7500 0.7500  4 Li 2.43, 4 Ga 2.43
3 Be 0.2500 0.2500 0.2500  4 Li 2.43, 4 Ga 2.43
4 Li 0.0000 0.0000 0.0000  8 Be 2.43


Most stable: two


one | Density functional theory data (PBE) for an optimized crystal structure of LuBeGa.

Calculated values
Its symmetry is F-43m (216). For the theoretical density, the calculation gives 7.81 g/cm³.

Cell lengths 4.2415, 4.2415, 4.2415 Å; angles 60.00, 60.00, 60.00 degrees
With the nearest neighbours (Å) after each atom.
Fractional positions:
1 Ga 0.0000 0.0000 0.0000  4 Be 2.60
2 Lu 0.5000 0.5000 0.5000  4 Be 2.60
3 Be 0.2500 0.2500 0.2500  4 Ga 2.60, 4 Lu 2.60


two | Density functional theory data (PBE) for an optimized crystal structure of LuBeGa.

Calculated values
Its symmetry is P-6m2 (187). For the theoretical density, the calculation gives 8.15 g/cm³.

Cell lengths 3.5101, 4.1235, 4.1235 Å; angles 120.00, 90.00, 90.00 degrees
With the nearest neighbours (Å) after each atom.
Fractional positions:
1 Lu 0.6668 0.6667 0.3333  6 Be 2.96, 6 Ga 2.96
2 Ga 0.1669 0.3333 0.6667  3 Be 2.38
3 Be 0.1663 0.0000 0.0000  3 Ga 2.38


Most stable: two


one | Density functional theory data (PBE) for an optimized crystal structure of Lu2BeGa.

Calculated values
Its symmetry is R-3m (166). For the theoretical density, the calculation gives 7.34 g/cm³.

Cell lengths 3.3280, 3.3280, 10.2859 Å; angles 80.69, 80.69, 60.00 degrees
With the nearest neighbours (Å) after each atom.
Fractional positions:
1 Lu 0.9062 0.9062 0.2815  1 Be 2.84, 3 Ga 2.93
2 Lu 0.0938 0.0938 0.7185  1 Be 2.84, 3 Ga 2.93
3 Ga 0.5000 0.5000 0.5000  6 Lu 2.93
4 Be 0.0000 0.0000 0.0000  2 Lu 2.84


two | Density functional theory data (PBE) for an optimized crystal structure of Lu2BeGa.

Calculated values
Its symmetry is P4/mmm (123). For the theoretical density, the calculation gives 9.00 g/cm³.

Cell lengths 3.3987, 3.3987, 6.8480 Å; angles 90.00, 90.00, 90.00 degrees
With the nearest neighbours (Å) after each atom.
Fractional positions:
1 Ga 0.5000 0.5000 0.5000  8 Lu 3.01
2 Lu 0.0000 0.0000 0.2350  4 Be 2.89, 4 Ga 3.01, 1 Lu 3.22
3 Lu 0.0000 0.0000 0.7650  4 Be 2.89, 4 Ga 3.01, 1 Lu 3.22
4 Be 0.5000 0.5000 0.0000  8 Lu 2.89


three | Density functional theory data (PBE) for an optimized crystal structure of Lu2BeGa.

Calculated values
Its symmetry is Fm-3m (225). For the theoretical density, the calculation gives 8.96 g/cm³.

Cell lengths 4.8259, 4.8259, 4.8259 Å; angles 60.00, 60.00, 60.00 degrees
With the nearest neighbours (Å) after each atom.
Fractional positions:
1 Lu 0.7500 0.7500 0.7500  4 Ga 2.96, 4 Be 2.96
2 Lu 0.2500 0.2500 0.2500  4 Be 2.96, 4 Ga 2.96
3 Be 0.0000 0.0000 0.0000  8 Lu 2.96
4 Ga 0.5000 0.5000 0.5000  8 Lu 2.96


Most stable: two


one | Density functional theory data (PBE) for an optimized crystal structure of MgBeGa.

Calculated values
Its symmetry is Amm2 (38). For the theoretical density, the calculation gives 3.66 g/cm³.

Cell lengths 4.0664, 3.2519, 7.0616 Å; angles 90.00, 90.00, 90.00 degrees
With the nearest neighbours (Å) after each atom.
Fractional positions:
1 Ga 0.5000 0.0000 0.8358  3 Be 2.35
2 Ga 0.0000 0.0000 0.3358  3 Be 2.35
3 Be 0.0000 0.0003 0.0028  3 Ga 2.35
4 Be 0.5000 0.9997 0.5028  3 Ga 2.35
5 Mg 0.0000 0.4999 0.6691  6 Be 2.86, 6 Ga 2.86
6 Mg 0.5000 0.5001 0.1691  6 Be 2.86, 6 Ga 2.86


two | Density functional theory data (PBE) for an optimized crystal structure of MgBeGa.

Calculated values
Its symmetry is F-43m (216). For the theoretical density, the calculation gives 3.49 g/cm³.

Cell lengths 4.1071, 4.1071, 4.1071 Å; angles 60.00, 60.00, 60.00 degrees
With the nearest neighbours (Å) after each atom.
Fractional positions:
1 Mg 0.0000 0.0000 0.0000  4 Be 2.52
2 Be 0.2500 0.2500 0.2500  4 Mg 2.52, 4 Ga 2.52
3 Ga 0.5000 0.5000 0.5000  4 Be 2.52


Most stable: one